Below is HoEr2TmSe4 after structural relaxation, with properties calculated at the GGA-PBE level.

Values from the calculation:
E_tot (eV per cell): -45.62
Formation energy from raw total energies (kJ/mol of atoms): -162.9
Magnetization (μB per formula unit): 0.0

a = 7.002 Å, b = 3.985 Å, c = 7.039 Å
α = 90.00°, β = 108.83°, γ = 90.00°
Space group P2/m (No. 10)
Unique sites:
1 Ho 0.000 0.000 0.000 [1 per cell]
2 Er 0.500 0.000 0.500 [1 per cell]
3 Er 0.500 0.500 0.000 [1 per cell]
4 Tm 0.000 0.500 0.500 [1 per cell]
5 Se 0.249 0.000 0.748 [2 per cell]
6 Se 0.251 0.500 0.252 [2 per cell]